[1]
Density functional theory data (PBE) for a relaxed TbNdCu2Ge2 crystal.

Lattice parameters (Å, degrees): 4.2787 4.2787 7.6297 90.00 90.00 120.00
Space group P-3m1 (No. 164)
Unique sites:
Tb: 0.0000 0.0000 0.0000 [1 per cell]
Nd: 0.0000 0.0000 0.5000 [1 per cell]
Cu: 0.3333 0.6667 0.2351 [2 per cell]
Ge: 0.3333 0.6667 0.7585 [2 per cell]

Fermi-level density of states = 1.3 states/eV/f.u.
Energy of formation = -678 meV/atom

---

[2]
Density functional theory data (PBE) for a relaxed KLaRu2 crystal.

Lattice parameters (Å, degrees): 7.020 7.020 7.020 90.00 90.00 90.00
Space group F-43m (No. 216)
Unique sites:
K: 0.000 0.000 0.000 [4 per cell]
La: 0.250 0.250 0.250 [4 per cell]
Ru: 0.000 0.000 0.500 [4 per cell]
Ru: 0.250 0.250 0.750 [4 per cell]

Fermi-level density of states = 6.1 states/eV/f.u.
Energy of formation = 912 meV/atom

---

[3]
Density functional theory data (PBE) for a relaxed NdCdGa2Pt2 crystal.

Lattice parameters (Å, degrees): 4.4481 4.4481 6.8895 90.00 90.00 120.00
Space group P-3m1 (No. 164)
Unique sites:
Nd: 0.0000 0.0000 0.0000 [1 per cell]
Cd: 0.0000 0.0000 0.5000 [1 per cell]
Ga: 0.3333 0.6667 0.2890 [2 per cell]
Pt: 0.3333 0.6667 0.7138 [2 per cell]

Fermi-level density of states = 3.2 states/eV/f.u.
Energy of formation = -754 meV/atom

---

[4]
Density functional theory data (PBE) for a relaxed LaTaOs3 crystal.

Lattice parameters (Å, degrees): 4.824 4.824 4.824 90.00 90.00 90.00
Space group Pm-3m (No. 221)
Unique sites:
La: 0.000 0.000 0.000 [1 per cell]
Ta: 0.500 0.500 0.500 [1 per cell]
Os: 0.000 0.500 0.500 [3 per cell]

Fermi-level density of states = 3.7 states/eV/f.u.
Energy of formation = 1085 meV/atom

---

[5]
Density functional theory data (PBE) for a relaxed GeBRh4 crystal.

Lattice parameters (Å, degrees): 3.796 4.137 5.552 100.11 96.33 90.01
Space group P-1 (No. 2)
Unique sites:
Ge: 0.000 0.000 0.000 [1 per cell]
B: 0.500 0.500 0.500 [1 per cell]
Rh: 0.026 0.556 0.271 [2 per cell]
Rh: 0.461 0.950 0.722 [2 per cell]

Fermi-level density of states = 3.6 states/eV/f.u.
Energy of formation = -235 meV/atom

---

[6]
Density functional theory data (PBE) for a relaxed CaSiMo2 crystal.

Lattice parameters (Å, degrees): 3.254 3.254 7.029 90.00 90.00 90.00
Space group P4mm (No. 99)
Unique sites:
Ca: 0.000 0.000 0.000 [1 per cell]
Si: 0.500 0.500 0.702 [1 per cell]
Mo: 0.000 0.000 0.514 [1 per cell]
Mo: 0.500 0.500 0.321 [1 per cell]

Total DFT energy (no corrections) = -28.85 eV per cell
Fermi-level density of states = 2.7 states/eV/f.u.

---

no.,calculated volume (Å³ per atom)
1,20.161
2,21.626
3,19.675
4,22.450
5,14.214
6,18.603